Record 1
Compound: CaSnF6
Source: Alexandria
Functional: GGA-PBEsol
Structure: relaxed

abc: 8.425 8.425 8.425
angles: 90.00 90.00 90.00
Space group Fm-3m (No. 225)
One atom of each set of equivalent atoms:
Ca: 0.000 0.000 0.000 x4
Sn: 0.000 0.000 0.500 x4
F: 0.000 0.000 0.265 x24

Computed properties:
The calculation puts the raw formation energy at -24.66 eV per formula unit.

Record 2
Compound: Na2CeO3
Source: Alexandria
Functional: GGA-PBEsol
Structure: relaxed

abc: 4.527 4.527 4.650
angles: 90.00 90.00 90.00
Space group P4/mmm (No. 123)
One atom of each set of equivalent atoms:
Na: 0.000 0.500 0.000 x2
Ce: 0.000 0.000 0.500 x1
O: 0.000 0.000 0.000 x1
O: 0.000 0.500 0.500 x2

Computed properties:
The calculation puts the raw formation energy at -13.74 eV per formula unit.

Record 3
Compound: CdSbMo2
Source: Alexandria
Functional: GGA-PBEsol
Structure: relaxed

abc: 3.0415 3.0415 26.7744
angles: 90.00 90.00 120.00
Space group R-3m (No. 166, hexagonal axes)
One atom of each set of equivalent atoms:
Cd: 0.0000 0.0000 0.0000 x3
Sb: 0.0000 0.0000 0.5000 x3
Mo: 0.0000 0.0000 0.2462 x6

Computed properties:
The calculation puts the polymorph energy (0 for the lowest one) at 119.5 meV/atom. The calculation puts the raw formation energy at 2.09 eV per formula unit.

Record 4
Compound: InFeSN2
Source: Alexandria
Functional: GGA-PBEsol
Structure: relaxed

abc: 3.625 3.625 4.905
angles: 90.00 90.00 90.00
Space group P4/mmm (No. 123)
One atom of each set of equivalent atoms:
In: 0.000 0.000 0.000 x1
Fe: 0.500 0.500 0.500 x1
S: 0.500 0.500 0.000 x1
N: 0.000 0.500 0.500 x2

Computed properties:
The calculation puts the raw formation energy at 2.39 eV per formula unit.

Record 5
Compound: ZrTaMn2
Source: Alexandria
Functional: GGA-PBEsol
Structure: relaxed

abc: 3.176 4.003 4.678
angles: 90.00 90.00 90.00
Space group Pmmm (No. 47)
One atom of each set of equivalent atoms:
Zr: 0.000 0.000 0.000 x1
Ta: 0.500 0.000 0.500 x1
Mn: 0.000 0.500 0.500 x1
Mn: 0.500 0.500 0.000 x1

Computed properties:
As for the formation energy: 0.87 eV per formula unit.

Record 6
Compound: Co2AgOs
Source: Alexandria
Functional: GGA-PBEsol
Structure: relaxed

abc: 2.735 4.390 8.840
angles: 90.00 90.00 90.00
Space group Cmm2 (No. 35)
One atom of each set of equivalent atoms:
Co: 0.000 0.000 0.000 x2
Co: 0.000 0.500 0.215 x2
Ag: 0.000 0.500 0.740 x2
Os: 0.000 0.000 0.454 x2

Computed properties:
As for the formation energy: 2.00 eV per formula unit. The calculation puts the polymorph energy (0 for the lowest one) at 140.6 meV/atom.

Record 7
Compound: Ba2CrSe
Source: Alexandria
Functional: GGA-PBEsol
Structure: relaxed

abc: 3.939 3.939 9.151
angles: 90.00 90.00 90.00
Space group P4mm (No. 99)
One atom of each set of equivalent atoms:
Ba: 0.000 0.000 0.000 x1
Ba: 0.500 0.500 0.433 x1
Cr: 0.000 0.000 0.655 x1
Se: 0.500 0.500 0.792 x1

Computed properties:
The calculation puts the raw formation energy at -0.37 eV per formula unit.

Record 8
Compound: Cr2MoW
Source: Alexandria
Functional: GGA-PBEsol
Structure: relaxed

abc: 4.229 4.229 2.985
angles: 90.00 90.00 90.00
Space group P4/mmm (No. 123)
One atom of each set of equivalent atoms:
Cr: 0.000 0.500 0.000 x2
Mo: 0.000 0.000 0.500 x1
W: 0.500 0.500 0.500 x1

Computed properties:
As for the formation energy: 0.20 eV per formula unit.

Number 1: E_tot -5.327 eV per atom, density of states at the Fermi level 0.00 states/eV per cell. Number 2: E_tot -6.481 eV per atom, density of states at the Fermi level 0.00 states/eV per cell. Number 3: E_tot -6.801 eV per atom, density of states at the Fermi level 10.95 states/eV per cell. Number 4: E_tot -6.199 eV per atom, density of states at the Fermi level 2.96 states/eV per cell. Number 5: E_tot -10.072 eV per atom, density of states at the Fermi level 3.96 states/eV per cell. Number 6: E_tot -7.251 eV per atom, density of states at the Fermi level 10.29 states/eV per cell. Number 7: E_tot -4.690 eV per atom, density of states at the Fermi level 2.93 states/eV per cell. Number 8: E_tot -11.465 eV per atom, density of states at the Fermi level 2.52 states/eV per cell.